# Tb6PmSc3 (PBE, relaxed)
# * space group: No. 146
data_Tb6PmSc3
_symmetry_space_group_name_H-M 'P 1'
_symmetry_Int_Tables_number 1
_cell_length_a 6.732
_cell_length_b 6.732
_cell_length_c 6.732
_cell_angle_alpha 91.44
_cell_angle_beta 91.44
_cell_angle_gamma 91.44
loop_
_symmetry_equiv_pos_as_xyz
'x,y,z'
loop_
_atom_site_label
_atom_site_fract_x
_atom_site_fract_y
_atom_site_fract_z
Tb1 0.000 0.340 0.660
Tb2 0.165 0.835 0.500
Tb3 0.340 0.660 0.000
Tb4 0.500 0.165 0.835
Tb5 0.660 0.000 0.340
Tb6 0.835 0.500 0.165
Pm1 0.001 0.001 0.001
Sc1 0.261 0.261 0.261
Sc2 0.501 0.501 0.501
Sc3 0.741 0.741 0.741

---

# LiGeB (PBE, relaxed)
# * space group: No. 12
data_LiGeB
_symmetry_space_group_name_H-M 'P 1'
_symmetry_Int_Tables_number 1
_cell_length_a 9.212
_cell_length_b 3.416
_cell_length_c 5.531
_cell_angle_alpha 90.00
_cell_angle_beta 109.29
_cell_angle_gamma 90.00
loop_
_symmetry_equiv_pos_as_xyz
'x,y,z'
loop_
_atom_site_label
_atom_site_fract_x
_atom_site_fract_y
_atom_site_fract_z
Li1 0.118 0.000 0.279
Li2 0.382 0.500 0.721
Li3 0.618 0.500 0.279
Li4 0.882 0.000 0.721
Ge1 0.166 0.000 0.800
Ge2 0.334 0.500 0.200
Ge3 0.666 0.500 0.800
Ge4 0.834 0.000 0.200
B1 0.080 0.500 0.961
B2 0.420 0.000 0.039
B3 0.580 0.000 0.961
B4 0.920 0.500 0.039

---

# Na2PuNpTe4 (PBE, relaxed)
# * formation energy without anion corrections: -90 kJ per mole of atoms
# * space group: No. 10
data_Na2PuNpTe4
_symmetry_space_group_name_H-M 'P 1'
_symmetry_Int_Tables_number 1
_cell_length_a 7.779
_cell_length_b 4.491
_cell_length_c 7.909
_cell_angle_alpha 90.00
_cell_angle_beta 109.08
_cell_angle_gamma 90.00
loop_
_symmetry_equiv_pos_as_xyz
'x,y,z'
loop_
_atom_site_label
_atom_site_fract_x
_atom_site_fract_y
_atom_site_fract_z
Na1 0.000 0.000 0.000
Na2 0.500 0.500 0.000
Pu1 0.000 0.500 0.500
Np1 0.500 0.000 0.500
Te1 0.247 0.000 0.734
Te2 0.258 0.500 0.266
Te3 0.742 0.500 0.734
Te4 0.753 0.000 0.266

---

| no. | E (eV/atom) |
| --- | --- |
| 1 | -4.967 |
| 2 | -4.340 |
| 3 | -6.242 |